9
Lattice="6.1218 -0.3231 -0.7331 -3.2683 4.1996 -3.1520 -1.6378 -0.8104 12.7430" Properties=species:S:1:pos:R:3 comment="Nd3Ho4Er2 | Alexandria | PBE-GGA | optimized geometry" space_group="P-1, No. 2" magmom_total_mub_per_atom=0.000 dos_ef_per_ev_atom=1.304 ef_kj_per_mol_atoms=1.87 dft_energy_ev_per_cell=-41.57 e_above_lowest_polymorph_mev_per_atom=0.0 pbc="T T T"
Nd 1.9427 -0.2563 7.7401
Nd 0.0000 0.0000 0.0000
Nd -0.7269 3.3225 1.1178
Ho 1.3461 0.3690 11.2081
Ho -0.1304 2.6972 -2.3502
Ho 1.8080 2.4472 5.3871
Ho -0.5923 0.6190 3.4708
Er 2.4017 1.8170 1.9267
Er -1.1859 1.2492 6.9312